Density functional theory data (PBE) for a relaxed Pr2Zn2Cu5Rh crystal.

## Properties
Crystal system: tetragonal
Uncorrected energy in eV/atom: -4.05
V in Å³/f.u.: 173
DOS(E_F) in states/eV/cell: 10.83
ρ in Mg/m³: 8.0
Formation energy from the elements in eV per atom: -0.05

POSCAR file:
```
Pr2Zn2Cu5Rh
1.0
9.943 0.000 0.000
0.000 9.943 0.000
0.000 0.000 3.495
Pr Zn Cu Rh
4 4 10 2
Cartesian
1.786 3.186 0.000
3.186 8.157 0.000
6.757 1.786 0.000
8.157 6.757 0.000
1.188 6.160 0.000
3.784 1.188 0.000
6.160 8.755 0.000
8.755 3.784 0.000
0.000 4.972 1.748
0.500 8.054 1.748
1.890 0.500 1.748
3.082 5.472 1.748
4.471 3.082 1.748
4.972 0.000 1.748
5.472 6.861 1.748
6.861 4.471 1.748
8.054 9.443 1.748
9.443 1.890 1.748
0.000 0.000 0.000
4.972 4.972 0.000
```